The following is a DFT calculation (GGA-PBE) of a geometry-optimized Cs3BN2 structure.

Calculated values
The relative energy among the computed polymorphs is 0.020 eV/atom. The volume comes out at 1338 Å³ per cell. The density comes out at 4.3 g cm⁻³. The magnetization is 0.0 μB/cell.

Cell: 9.4634 9.4634 14.9392 Å, 90.00 90.00 90.00°
Space group I4_1/amd (No. 141, origin choice 2)
Inequivalent atoms, fractional coordinates:
Cs: 0.0000 0.2500 0.0015 [8 per cell]
Cs: 0.1982 0.0518 0.3750 [16 per cell]
B: 0.0000 0.2500 0.2055 [8 per cell]
N: 0.0000 0.1059 0.2016 [16 per cell]